No. 1
SiPOsO (PBE-GGA, relaxed); crystal system = tetragonal; space group = P4/nmm; energy above the most stable polymorph in this dataset = 0.371 eV/atom; raw total energy = -57.197 eV per cell
1.0
-2.1652 -2.6651 -1.3043
0.0565 -1.6513 3.2806
-7.4240 4.7890 2.5384
O Si P Os
2 2 2 2
Direct
0.0000 0.0000 0.0000 O
0.5000 0.5000 0.0000 O
0.5000 0.0000 0.9023 Si
0.0000 0.5000 0.0977 Si
0.5000 0.0000 0.3331 P
0.0000 0.5000 0.6669 P
0.5000 0.5000 0.5000 Os
0.0000 0.0000 0.5000 Os

No. 2
SiPOsO (PBE-GGA, relaxed); crystal system = orthorhombic; space group = Pmc2_1; energy above the most stable polymorph in this dataset = 0.000 eV/atom; raw total energy = -60.168 eV per cell
1.0
3.0025 0.0000 0.0000
0.0000 8.0119 0.0000
0.0000 0.0000 4.6919
Si Os P O
2 2 2 2
Direct
0.0000 0.3653 0.0023 Si
0.0000 0.6347 0.5023 Si
0.5000 0.1329 0.9657 Os
0.5000 0.8671 0.4657 Os
0.5000 0.1639 0.4735 P
0.5000 0.8361 0.9735 P
0.0000 0.5325 0.8045 O
0.0000 0.4675 0.3045 O

Q: What is the formula in the second record?
A: SiPOsO